No. 1
# GGA-PBE LaCu3Ge3, optimized geometry
data_LaCu3Ge3
_chemical_formula_sum 'La2 Cu6 Ge6'
_cell_length_a 6.615
_cell_length_b 6.615
_cell_length_c 6.615
_cell_angle_alpha 90.00
_cell_angle_beta 90.00
_cell_angle_gamma 90.00
_space_group_name_H-M_alt 'P 1'
_space_group_IT_number 1
_space_group_name_Hall 'P 1'
loop_
_atom_site_label
_atom_site_type_symbol
_atom_site_fract_x
_atom_site_fract_y
_atom_site_fract_z
Ge1 Ge 0.000 0.250 0.500
Ge2 Ge 0.000 0.750 0.500
Ge3 Ge 0.500 0.000 0.750
Ge4 Ge 0.750 0.500 0.000
Ge5 Ge 0.500 0.000 0.250
Ge6 Ge 0.250 0.500 0.000
Cu1 Cu 0.250 0.000 0.500
Cu2 Cu 0.000 0.500 0.250
Cu3 Cu 0.500 0.750 0.000
Cu4 Cu 0.750 0.000 0.500
Cu5 Cu 0.000 0.500 0.750
Cu6 Cu 0.500 0.250 0.000
La1 La 0.500 0.500 0.500
La2 La 0.000 0.000 0.000
# Relative energy among the computed polymorphs (meV per atom): 108
# Energy of formation from the pure elements (meV/atom): -55
# Electronic total energy (eV per atom): -4.493

No. 2
# GGA-PBE K2BeFe, optimized geometry
data_K2BeFe
_chemical_formula_sum 'K2 Be1 Fe1'
_cell_length_a 11.806
_cell_length_b 11.806
_cell_length_c 11.806
_cell_angle_alpha 15.27
_cell_angle_beta 15.27
_cell_angle_gamma 15.27
_space_group_name_H-M_alt 'P 1'
_space_group_IT_number 1
_space_group_name_Hall 'P 1'
loop_
_atom_site_label
_atom_site_type_symbol
_atom_site_fract_x
_atom_site_fract_y
_atom_site_fract_z
Be1 Be 0.250 0.250 0.250
K1 K 0.001 0.001 0.001
K2 K 0.499 0.499 0.499
Fe1 Fe 0.750 0.750 0.750
# Energy of formation from the pure elements (meV/atom): 1385
# Electronic total energy (eV per atom): -2.211

No. 3
# GGA-PBE Cr2PtPb, optimized geometry
data_Cr2PtPb
_chemical_formula_sum 'Cr2 Pt1 Pb1'
_cell_length_a 4.227
_cell_length_b 4.227
_cell_length_c 3.910
_cell_angle_alpha 90.00
_cell_angle_beta 90.00
_cell_angle_gamma 90.00
_space_group_name_H-M_alt 'P 1'
_space_group_IT_number 1
_space_group_name_Hall 'P 1'
loop_
_atom_site_label
_atom_site_type_symbol
_atom_site_fract_x
_atom_site_fract_y
_atom_site_fract_z
Cr1 Cr 0.000 0.000 0.000
Cr2 Cr 0.500 0.500 0.000
Pb1 Pb 0.500 0.000 0.500
Pt1 Pt 0.000 0.500 0.500
# Energy of formation from the pure elements (meV/atom): 288
# Electronic total energy (eV per atom): -6.960

No. 4
# GGA-PBE PmSn2, optimized geometry
data_PmSn2
_chemical_formula_sum 'Pm1 Sn2'
_cell_length_a 3.901
_cell_length_b 3.901
_cell_length_c 6.125
_cell_angle_alpha 108.57
_cell_angle_beta 108.57
_cell_angle_gamma 90.00
_space_group_name_H-M_alt 'P 1'
_space_group_IT_number 1
_space_group_name_Hall 'P 1'
loop_
_atom_site_label
_atom_site_type_symbol
_atom_site_fract_x
_atom_site_fract_y
_atom_site_fract_z
Sn1 Sn 0.686 0.686 0.373
Sn2 Sn 0.314 0.314 0.627
Pm1 Pm 0.000 0.000 0.000
# Relative energy among the computed polymorphs (meV per atom): 204
# Energy of formation from the pure elements (meV/atom): -434
# Electronic total energy (eV per atom): -4.686

No. 5
# GGA-PBE Y3HN2, optimized geometry
data_Y3HN2
_chemical_formula_sum 'Y6 H2 N4'
_cell_length_a 3.444
_cell_length_b 6.122
_cell_length_c 10.789
_cell_angle_alpha 90.00
_cell_angle_beta 90.00
_cell_angle_gamma 106.34
_space_group_name_H-M_alt 'P 1'
_space_group_IT_number 1
_space_group_name_Hall 'P 1'
loop_
_atom_site_label
_atom_site_type_symbol
_atom_site_fract_x
_atom_site_fract_y
_atom_site_fract_z
Y1 Y 0.615 0.231 0.079
Y2 Y 0.100 0.201 0.750
Y3 Y 0.615 0.231 0.421
Y4 Y 0.900 0.799 0.250
Y5 Y 0.385 0.769 0.921
Y6 Y 0.385 0.769 0.579
H1 H 0.238 0.476 0.250
H2 H 0.762 0.524 0.750
N1 N 0.000 0.000 0.000
N2 N 0.000 0.000 0.500
N3 N 0.515 0.030 0.250
N4 N 0.485 0.970 0.750
# Electronic total energy (eV per atom): -7.542

No. 6
# GGA-PBE Ti2BiMo, optimized geometry
data_Ti2BiMo
_chemical_formula_sum 'Ti2 Bi1 Mo1'
_cell_length_a 3.687
_cell_length_b 4.432
_cell_length_c 4.432
_cell_angle_alpha 90.00
_cell_angle_beta 90.00
_cell_angle_gamma 90.00
_space_group_name_H-M_alt 'P 1'
_space_group_IT_number 1
_space_group_name_Hall 'P 1'
loop_
_atom_site_label
_atom_site_type_symbol
_atom_site_fract_x
_atom_site_fract_y
_atom_site_fract_z
Mo1 Mo 0.500 0.500 0.500
Bi1 Bi 0.500 0.000 0.000
Ti1 Ti 0.000 0.000 0.500
Ti2 Ti 0.000 0.500 0.000
# Energy of formation from the pure elements (meV/atom): 10
# Electronic total energy (eV per atom): -7.616

No. 7
# GGA-PBE SiOs2Pb, optimized geometry
data_SiOs2Pb
_chemical_formula_sum 'Si1 Os2 Pb1'
_cell_length_a 5.250
_cell_length_b 5.228
_cell_length_c 3.055
_cell_angle_alpha 73.27
_cell_angle_beta 89.51
_cell_angle_gamma 119.97
_space_group_name_H-M_alt 'P 1'
_space_group_IT_number 1
_space_group_name_Hall 'P 1'
loop_
_atom_site_label
_atom_site_type_symbol
_atom_site_fract_x
_atom_site_fract_y
_atom_site_fract_z
Os1 Os 0.000 0.000 0.000
Os2 Os 0.500 0.000 0.500
Pb1 Pb 0.000 0.500 0.500
Si1 Si 0.500 0.500 0.000
# Uncorrected formation energy (meV per atom): 952
# Relative energy among the computed polymorphs (meV per atom): 596
# Electronic total energy (eV per atom): -6.946

No. 8
# GGA-PBE Pu2Co3TcGe4, optimized geometry
data_Pu2Co3TcGe4
_chemical_formula_sum 'Pu2 Co3 Tc1 Ge4'
_cell_length_a 4.133
_cell_length_b 4.133
_cell_length_c 9.684
_cell_angle_alpha 90.00
_cell_angle_beta 90.00
_cell_angle_gamma 90.00
_space_group_name_H-M_alt 'P 1'
_space_group_IT_number 1
_space_group_name_Hall 'P 1'
loop_
_atom_site_label
_atom_site_type_symbol
_atom_site_fract_x
_atom_site_fract_y
_atom_site_fract_z
Pu1 Pu 0.500 0.000 0.250
Pu2 Pu 0.000 0.500 0.750
Co1 Co 0.000 0.000 0.500
Co2 Co 0.500 0.000 0.879
Co3 Co 0.000 0.500 0.121
Tc1 Tc 0.500 0.500 0.500
Ge1 Ge 0.500 0.500 0.000
Ge2 Ge 0.000 0.000 0.000
Ge3 Ge 0.500 0.000 0.638
Ge4 Ge 0.000 0.500 0.362
# Energy of formation from the pure elements (meV/atom): -352
# Electronic total energy (eV per atom): -8.234

No. 9
# GGA-PBE RbHf3Te12Au4, optimized geometry
data_RbHf3Te12Au4
_chemical_formula_sum 'Rb1 Hf3 Te12 Au4'
_cell_length_a 9.628
_cell_length_b 9.628
_cell_length_c 9.628
_cell_angle_alpha 106.03
_cell_angle_beta 106.03
_cell_angle_gamma 106.03
_space_group_name_H-M_alt 'P 1'
_space_group_IT_number 1
_space_group_name_Hall 'P 1'
loop_
_atom_site_label
_atom_site_type_symbol
_atom_site_fract_x
_atom_site_fract_y
_atom_site_fract_z
Rb1 Rb 0.000 0.000 0.000
Hf1 Hf 0.564 0.436 0.000
Hf2 Hf 0.436 0.000 0.564
Hf3 Hf 0.000 0.564 0.436
Te1 Te 0.500 0.330 0.670
Te2 Te 0.902 0.500 0.098
Te3 Te 0.098 0.902 0.500
Te4 Te 0.500 0.098 0.902
Te5 Te 0.322 0.900 0.241
Te6 Te 0.241 0.322 0.900
Te7 Te 0.900 0.241 0.322
Te8 Te 0.678 0.759 0.100
Te9 Te 0.100 0.678 0.759
Te10 Te 0.759 0.100 0.678
Te11 Te 0.670 0.500 0.330
Te12 Te 0.330 0.670 0.500
Au1 Au 0.926 0.074 0.500
Au2 Au 0.074 0.500 0.926
Au3 Au 0.500 0.926 0.074
Au4 Au 0.500 0.500 0.500
# Uncorrected formation energy (meV per atom): -251
# Electronic total energy (eV per atom): -4.332

No. 10
# GGA-PBE Ga3TcIr, optimized geometry
data_Ga3TcIr
_chemical_formula_sum 'Ga3 Tc1 Ir1'
_cell_length_a 4.746
_cell_length_b 4.746
_cell_length_c 4.746
_cell_angle_alpha 90.00
_cell_angle_beta 90.00
_cell_angle_gamma 90.00
_space_group_name_H-M_alt 'P 1'
_space_group_IT_number 1
_space_group_name_Hall 'P 1'
loop_
_atom_site_label
_atom_site_type_symbol
_atom_site_fract_x
_atom_site_fract_y
_atom_site_fract_z
Ir1 Ir 0.000 0.000 0.000
Tc1 Tc 0.500 0.500 0.500
Ga1 Ga 0.000 0.500 0.000
Ga2 Ga 0.000 0.000 0.500
Ga3 Ga 0.500 0.000 0.000
# Relative energy among the computed polymorphs (meV per atom): 0
# Energy of formation from the pure elements (meV/atom): 608
# Electronic total energy (eV per atom): -5.054

No. 11
# GGA-PBE TbBPtRh2, optimized geometry
data_TbBPtRh2
_chemical_formula_sum 'Tb1 B1 Pt1 Rh2'
_cell_length_a 4.225
_cell_length_b 4.253
_cell_length_c 4.253
_cell_angle_alpha 90.00
_cell_angle_beta 90.00
_cell_angle_gamma 90.00
_space_group_name_H-M_alt 'P 1'
_space_group_IT_number 1
_space_group_name_Hall 'P 1'
loop_
_atom_site_label
_atom_site_type_symbol
_atom_site_fract_x
_atom_site_fract_y
_atom_site_fract_z
Tb1 Tb 0.500 0.500 0.500
B1 B 0.000 0.000 0.000
Pt1 Pt 0.500 0.000 0.000
Rh1 Rh 0.000 0.000 0.500
Rh2 Rh 0.000 0.500 0.000
# Energy of formation from the pure elements (meV/atom): -859
# Electronic total energy (eV per atom): -7.269

no.,mass density (g/cm3)
1,6.28
2,2.39
3,12.03
4,7.63
5,4.50
6,9.19
7,14.96
8,10.57
9,6.41
10,7.76
11,12.40